# 1
Density functional theory data (SCAN) for In2Hg2F at its PBEsol-relaxed geometry.

```
data_In2Hg2F
_symmetry_space_group_name_H-M 'P 4/m b m'
_symmetry_Int_Tables_number 127
_symmetry_space_group_name_Hall '-P 4 2ab'
_cell_length_a 6.756
_cell_length_b 6.756
_cell_length_c 4.995
_cell_angle_alpha 90.00
_cell_angle_beta 90.00
_cell_angle_gamma 90.00
loop_
_atom_site_label
_atom_site_type_symbol
_atom_site_fract_x
_atom_site_fract_y
_atom_site_fract_z
In1 In 0.171 0.329 0.000
Hg1 Hg 0.161 0.661 0.500
F1 F 0.000 0.000 0.000
```

ΔE_f (raw)   -3.057 eV/f.u.
Total energy   -209.7 eV/f.u.

# 2
Density functional theory data (SCAN) for In2HgF2 at its PBEsol-relaxed geometry.

```
data_In2HgF2
_symmetry_space_group_name_H-M 'I 4/m m m'
_symmetry_Int_Tables_number 139
_symmetry_space_group_name_Hall '-I 4 2'
_cell_length_a 3.830
_cell_length_b 3.830
_cell_length_c 13.345
_cell_angle_alpha 90.00
_cell_angle_beta 90.00
_cell_angle_gamma 90.00
loop_
_atom_site_label
_atom_site_type_symbol
_atom_site_fract_x
_atom_site_fract_y
_atom_site_fract_z
In1 In 0.000 0.000 0.140
Hg1 Hg 0.000 0.000 0.500
F1 F 0.000 0.500 0.250
```

ΔE_f (raw)   -7.096 eV/f.u.
Total energy   -149.1 eV/f.u.

# 3
Density functional theory data (SCAN) for HgIrF2 at its PBEsol-relaxed geometry.

```
data_HgIrF2
_symmetry_space_group_name_H-M 'R -3 m'
_symmetry_Int_Tables_number 166
_symmetry_space_group_name_Hall '-R 3 2"'
_cell_length_a 2.8355
_cell_length_b 2.8355
_cell_length_c 26.1753
_cell_angle_alpha 90.00
_cell_angle_beta 90.00
_cell_angle_gamma 120.00
loop_
_atom_site_label
_atom_site_type_symbol
_atom_site_fract_x
_atom_site_fract_y
_atom_site_fract_z
Hg1 Hg 0.0000 0.0000 0.0000
Ir1 Ir 0.0000 0.0000 0.5000
F1 F 0.0000 0.0000 0.1024
```

ΔE_f (raw)   -1.119 eV/f.u.
Total energy   -147.5 eV/f.u.

# 4
Density functional theory data (SCAN) for HgIrNF2 at its PBEsol-relaxed geometry.

```
data_HgIrNF2
_symmetry_space_group_name_H-M 'P 4/m m m'
_symmetry_Int_Tables_number 123
_symmetry_space_group_name_Hall '-P 4 2'
_cell_length_a 4.355
_cell_length_b 4.355
_cell_length_c 3.695
_cell_angle_alpha 90.00
_cell_angle_beta 90.00
_cell_angle_gamma 90.00
loop_
_atom_site_label
_atom_site_type_symbol
_atom_site_fract_x
_atom_site_fract_y
_atom_site_fract_z
Hg1 Hg 0.000 0.000 0.000
Ir1 Ir 0.500 0.500 0.500
N1 N 0.500 0.500 0.000
F1 F 0.000 0.500 0.500
```

ΔE_f (raw)   -1.311 eV/f.u.
Total energy   -156.9 eV/f.u.

> ΔE_f (raw) of number 3 (HgIrF2)?

-1.119 eV/f.u.

> The lowest ΔE_f (raw) belongs to which entry?

In2HgF2

> Which value of total energy does entry 4 give?

-156.9 eV/f.u.